Below is a geometry-optimized Al2SiNi structure, with properties calculated at the GGA-PBEsol level.

Output
Energy above the lowest structure with this stoichiometry = 0 meV/atom
E_form (uncorrected) = -0.348 eV per atom

Unit cell a=6.149 b=7.399 c=4.869 alpha=90.00 beta=90.00 gamma=90.00
Space group Pnma (No. 62)
Inequivalent atoms, fractional coordinates:
Al (0.163, 0.052, 0.166) x8
Si (0.023, 0.750, 0.428) x4
Ni (0.146, 0.750, 0.969) x4

Below is a geometry-optimized LuCuPbSe3 structure, with properties calculated at the GGA-PBEsol level.

Output
E_form (uncorrected) = -0.994 eV per atom

Unit cell a=10.268 b=3.954 c=13.363 alpha=90.00 beta=90.00 gamma=90.00
Space group Pnma (No. 62)
Inequivalent atoms, fractional coordinates:
Lu (0.017, 0.250, 0.246) x4
Cu (0.239, 0.250, 0.719) x4
Pb (0.231, 0.750, 0.507) x4
Se (0.045, 0.250, 0.613) x4
Se (0.076, 0.750, 0.107) x4
Se (0.236, 0.750, 0.829) x4

Below is a geometry-optimized La5Ru3 structure, with properties calculated at the GGA-PBEsol level.

Output
Energy above the lowest structure with this stoichiometry = 12 meV/atom

Unit cell a=11.059 b=11.059 c=6.248 alpha=90.00 beta=90.00 gamma=90.00
Space group I4/mcm (No. 140)
Inequivalent atoms, fractional coordinates:
La (0.000, 0.500, 0.250) x4
La (0.088, 0.210, 0.000) x16
Ru (0.000, 0.000, 0.250) x4
Ru (0.153, 0.347, 0.500) x8

Below is a geometry-optimized La2RuBr structure, with properties calculated at the GGA-PBEsol level.

Output
Energy above the lowest structure with this stoichiometry = 326 meV/atom
E_form (uncorrected) = -0.517 eV per atom

Unit cell a=3.481 b=4.953 c=5.462 alpha=90.00 beta=90.00 gamma=90.00
Space group Pmmm (No. 47)
Inequivalent atoms, fractional coordinates:
La (0.000, 0.000, 0.000) x1
La (0.000, 0.500, 0.500) x1
Ru (0.500, 0.000, 0.500) x1
Br (0.500, 0.500, 0.000) x1

Below is a geometry-optimized TlZnMo2 structure, with properties calculated at the GGA-PBEsol level.

Output
Energy above the lowest structure with this stoichiometry = 179 meV/atom

Unit cell a=3.327 b=4.335 c=4.546 alpha=90.00 beta=90.00 gamma=90.00
Space group Pmmm (No. 47)
Inequivalent atoms, fractional coordinates:
Tl (0.000, 0.000, 0.000) x1
Zn (0.500, 0.500, 0.000) x1
Mo (0.000, 0.500, 0.500) x1
Mo (0.500, 0.000, 0.500) x1

Below is a geometry-optimized Y2GeO5 structure, with properties calculated at the GGA-PBEsol level.

Output
Energy above the lowest structure with this stoichiometry = 11 meV/atom
E_form (uncorrected) = -2.969 eV per atom

Unit cell a=14.855 b=6.806 c=10.366 alpha=90.00 beta=121.81 gamma=90.00
Space group C2/c (No. 15)
Inequivalent atoms, fractional coordinates:
Y (0.035, 0.243, 0.463) x8
Y (0.137, 0.129, 0.837) x8
Ge (0.185, 0.406, 0.308) x8
O (0.017, 0.096, 0.897) x8
O (0.083, 0.497, 0.133) x8
O (0.116, 0.202, 0.322) x8
O (0.195, 0.155, 0.675) x8
O (0.205, 0.425, 0.948) x8

Below is a geometry-optimized ZrScMo4 structure, with properties calculated at the GGA-PBEsol level.

Output
VASP energy = -10.527 eV/atom

Unit cell a=7.509 b=7.509 c=7.509 alpha=90.00 beta=90.00 gamma=90.00
Space group F-43m (No. 216)
Inequivalent atoms, fractional coordinates:
Zr (0.000, 0.000, 0.000) x4
Sc (0.250, 0.250, 0.750) x4
Mo (0.125, 0.125, 0.375) x16

Below is a geometry-optimized Ca4AlZn43 structure, with properties calculated at the GGA-PBEsol level.

Output
VASP energy = -1.861 eV/atom

Unit cell a=6.709 b=14.787 c=14.769 alpha=90.00 beta=90.00 gamma=90.00
Space group C222 (No. 21)
Inequivalent atoms, fractional coordinates:
Ca (0.000, 0.000, 0.000) x2
Ca (0.000, 0.500, 0.500) x2
Ca (0.250, 0.250, 0.250) x4
Al (0.000, 0.000, 0.500) x2
Zn (0.000, 0.500, 0.000) x2
Zn (0.052, 0.292, 0.587) x8
Zn (0.053, 0.086, 0.793) x8
Zn (0.053, 0.208, 0.914) x8
Zn (0.053, 0.414, 0.708) x8
Zn (0.125, 0.375, 0.875) x8
Zn (0.126, 0.126, 0.626) x8
Zn (0.197, 0.042, 0.336) x8
Zn (0.197, 0.164, 0.458) x8
Zn (0.197, 0.336, 0.042) x8
Zn (0.197, 0.458, 0.163) x8
Zn (0.250, 0.250, 0.750) x4

Below is a geometry-optimized MnCrFe2 structure, with properties calculated at the GGA-PBEsol level.

Output
VASP energy = -9.420 eV/atom

Unit cell a=3.452 b=3.452 c=6.960 alpha=90.00 beta=90.00 gamma=90.00
Space group I4/mmm (No. 139)
Inequivalent atoms, fractional coordinates:
Mn (0.000, 0.000, 0.000) x2
Cr (0.000, 0.000, 0.500) x2
Fe (0.000, 0.500, 0.250) x4

Below is a geometry-optimized Tl2HgSb structure, with properties calculated at the GGA-PBEsol level.

Output
Energy above the lowest structure with this stoichiometry = 27 meV/atom
E_form (uncorrected) = 0.023 eV per atom

Unit cell a=3.3795 b=3.3795 c=32.7844 alpha=90.00 beta=90.00 gamma=120.00
Space group R-3m (No. 166, hexagonal axes)
Inequivalent atoms, fractional coordinates:
Tl (0.0000, 0.0000, 0.2489) x6
Hg (0.0000, 0.0000, 0.5000) x3
Sb (0.0000, 0.0000, 0.0000) x3

Below is a geometry-optimized ScSiTc structure, with properties calculated at the GGA-PBEsol level.

Output
Energy above the lowest structure with this stoichiometry = 0 meV/atom
E_form (uncorrected) = -0.640 eV per atom

Unit cell a=3.195 b=3.195 c=9.127 alpha=90.00 beta=90.00 gamma=90.00
Space group I4mm (No. 107)
Inequivalent atoms, fractional coordinates:
Sc (0.000, 0.000, 0.000) x2
Si (0.000, 0.000, 0.694) x2
Tc (0.000, 0.000, 0.310) x2

Below is a geometry-optimized CsLuS2 structure, with properties calculated at the GGA-PBEsol level.

Output
Energy above the lowest structure with this stoichiometry = 0 meV/atom
E_form (uncorrected) = -1.871 eV per atom

Unit cell a=3.9463 b=3.9463 c=15.7832 alpha=90.00 beta=90.00 gamma=120.00
Space group P6_3/mmc (No. 194)
Inequivalent atoms, fractional coordinates:
Cs (0.3333, 0.6667, 0.2500) x2
Lu (0.0000, 0.0000, 0.0000) x2
S (0.3333, 0.6667, 0.5903) x4

| no. | theoretical density (g cm⁻³) |
| --- | --- |
| 1 | 4.2 |
| 2 | 8.4 |
| 3 | 8.7 |
| 4 | 8.1 |
| 5 | 11.7 |
| 6 | 4.9 |
| 7 | 8.2 |
| 8 | 6.8 |
| 9 | 8.8 |
| 10 | 11.2 |
| 11 | 6.1 |
| 12 | 5.8 |